Here is NbCoNiSb after structural relaxation from OQMD. Energies are from PBE-GGA.

Values from the calculation:
Energy above the lowest structure with this stoichiometry   152 meV/atom
Magnetic moment   0.0 μB/f.u.

abc: 6.225 6.225 6.225
angles: 90.00 90.00 90.00
Space group F-43m (No. 216)
Symmetry-distinct sites (fractional):
Nb 0.000 0.000 0.000 (multiplicity 4)
Co 0.250 0.250 0.750 (multiplicity 4)
Ni 0.000 0.000 0.500 (multiplicity 4)
Sb 0.250 0.250 0.250 (multiplicity 4)